A relaxed Ba2MgSeS crystal. Source: the Alexandria database, functional PBE.

a b c (Å): 6.278 6.278 5.152
angles (deg): 90.00 90.00 90.00
Space group P4/mmm (No. 123)
Inequivalent atoms, fractional coordinates:
Ba  0.000  0.500  0.000 (multiplicity 2)
Mg  0.000  0.000  0.500 (multiplicity 1)
Se  0.500  0.500  0.000 (multiplicity 1)
S  0.500  0.500  0.500 (multiplicity 1)

Summary:
* E_form (uncorrected): -531.0 meV/atom

=====

A relaxed K2TePSe crystal. Source: the Alexandria database, functional PBE.

a b c (Å): 6.658 6.658 5.478
angles (deg): 90.00 90.00 90.00
Space group P4/mmm (No. 123)
Inequivalent atoms, fractional coordinates:
K  0.000  0.500  0.000 (multiplicity 2)
Te  0.000  0.000  0.000 (multiplicity 1)
P  0.500  0.500  0.500 (multiplicity 1)
Se  0.000  0.000  0.500 (multiplicity 1)

Summary:
* E_form (uncorrected): 130.5 meV/atom

=====

A relaxed MgTc2Ag crystal. Source: the Alexandria database, functional PBE.

a b c (Å): 2.7827 2.7827 28.7529
angles (deg): 90.00 90.00 120.00
Space group R-3m (No. 166, hexagonal axes)
Inequivalent atoms, fractional coordinates:
Mg  0.0000  0.0000  0.0000 (multiplicity 3)
Tc  0.0000  0.0000  0.2513 (multiplicity 6)
Ag  0.0000  0.0000  0.5000 (multiplicity 3)

Summary:
* energy relative to the elements: 1.88 eV per formula unit